Record 1
Here is a relaxed K3Ta2MoO9 crystal from the Alexandria database. Energies are from PBE with a Hubbard U.

* electronic total energy: -7.601 eV per atom
* SG: No. 164
* total magnetic moment: 0.067 μB per atom
* crystal system: trigonal

a = 5.706 Å, b = 5.706 Å, c = 6.932 Å
α = 90.00°, β = 90.00°, γ = 120.00°
Element x y z (fractional)
K: 0.000 0.000 0.000
K: 0.333 0.667 0.666
K: 0.667 0.333 0.334
Ta: 0.333 0.667 0.167
Ta: 0.667 0.333 0.833
Mo: 0.000 0.000 0.500
O: 0.000 0.500 0.000
O: 0.167 0.335 0.335
O: 0.167 0.833 0.335
O: 0.335 0.167 0.665
O: 0.500 0.000 0.000
O: 0.500 0.500 0.000
O: 0.665 0.833 0.335
O: 0.833 0.167 0.665
O: 0.833 0.665 0.665



Record 2
Here is a relaxed KTaMoO6 crystal from the Alexandria database. Energies are from PBE with a Hubbard U.

* electronic total energy: -7.704 eV per atom
* SG: No. 143
* total magnetic moment: 0.000 μB per atom
* crystal system: trigonal

a = 5.337 Å, b = 5.337 Å, c = 5.964 Å
α = 90.00°, β = 90.00°, γ = 120.00°
Element x y z (fractional)
K: 0.000 0.000 0.000
Ta: 0.333 0.667 0.454
Mo: 0.667 0.333 0.529
O: 0.398 0.002 0.681
O: 0.402 0.389 0.306
O: 0.605 0.602 0.681
O: 0.611 0.013 0.306
O: 0.987 0.598 0.306
O: 0.998 0.395 0.681